1.
# Ac2SO4F5 | Alexandria via LeMat-Bulk | PBE | relaxed
data_Ac2SO4F5
_cell_length_a 5.673
_cell_length_b 15.494
_cell_length_c 4.293
_cell_angle_alpha 90.00
_cell_angle_beta 90.00
_cell_angle_gamma 90.00
_symmetry_space_group_name_H-M 'A m m 2'
_symmetry_Int_Tables_number 38
loop_
_symmetry_equiv_pos_as_xyz
'x,y,z'
'-x,-y,z'
'-x,y,z'
'x,-y,z'
'x,y+1/2,z+1/2'
'-x,-y+1/2,z+1/2'
'-x,y+1/2,z+1/2'
'x,-y+1/2,z+1/2'
loop_
_atom_site_label
_atom_site_type_symbol
_atom_site_fract_x
_atom_site_fract_y
_atom_site_fract_z
_atom_site_occupancy
Ac1 Ac 0.000 0.151 0.000 1
S1 S 0.500 0.000 0.815 1
O1 O 0.285 0.000 0.619 1
O2 O 0.500 0.079 0.014 1
F1 F 0.000 0.000 0.123 1
F2 F 0.213 0.195 0.499 1
# crystal system = orthorhombic
# ΔE_f (raw) = -2.827 eV/atom

=====

2.
# CrTe2I | Alexandria via LeMat-Bulk | PBE | relaxed
data_CrTe2I
_cell_length_a 8.549
_cell_length_b 13.478
_cell_length_c 5.544
_cell_angle_alpha 90.00
_cell_angle_beta 98.84
_cell_angle_gamma 90.00
_symmetry_space_group_name_H-M 'C 1 2/c 1'
_symmetry_Int_Tables_number 15
loop_
_symmetry_equiv_pos_as_xyz
'x,y,z'
'-x,-y,-z'
'-x,y,-z+1/2'
'x,-y,z+1/2'
'x+1/2,y+1/2,z'
'-x+1/2,-y+1/2,-z'
'-x+1/2,y+1/2,-z+1/2'
'x+1/2,-y+1/2,z+1/2'
loop_
_atom_site_label
_atom_site_type_symbol
_atom_site_fract_x
_atom_site_fract_y
_atom_site_fract_z
_atom_site_occupancy
Cr1 Cr 0.000 0.012 0.250 1
Te1 Te 0.160 0.117 0.572 1
I1 I 0.000 0.326 0.750 1
# crystal system = monoclinic
# ΔE_f (raw) = 0.090 eV/atom

=====

3.
# Ba2BeSnO5 | Alexandria via LeMat-Bulk | PBE | relaxed
data_Ba2BeSnO5
_cell_length_a 3.399
_cell_length_b 14.685
_cell_length_c 11.225
_cell_angle_alpha 90.00
_cell_angle_beta 90.00
_cell_angle_gamma 90.00
_symmetry_space_group_name_H-M 'C m c 21'
_symmetry_Int_Tables_number 36
loop_
_symmetry_equiv_pos_as_xyz
'x,y,z'
'-x,-y,z+1/2'
'-x,y,z'
'x,-y,z+1/2'
'x+1/2,y+1/2,z'
'-x+1/2,-y+1/2,z+1/2'
'-x+1/2,y+1/2,z'
'x+1/2,-y+1/2,z+1/2'
loop_
_atom_site_label
_atom_site_type_symbol
_atom_site_fract_x
_atom_site_fract_y
_atom_site_fract_z
_atom_site_occupancy
Ba1 Ba 0.000 0.109 0.000 1
Ba2 Ba 0.000 0.128 0.647 1
Be1 Be 0.000 0.438 0.736 1
Sn1 Sn 0.000 0.193 0.342 1
O1 O 0.000 0.053 0.312 1
O2 O 0.000 0.303 0.965 1
O3 O 0.000 0.324 0.715 1
O4 O 0.000 0.330 0.328 1
O5 O 0.000 0.495 0.620 1
# crystal system = orthorhombic
# ΔE_f (raw) = -2.261 eV/atom

=====

4.
# CaMgGe2Ir | Alexandria via LeMat-Bulk | PBE | relaxed
data_CaMgGe2Ir
_cell_length_a 4.145
_cell_length_b 4.145
_cell_length_c 11.270
_cell_angle_alpha 90.00
_cell_angle_beta 90.00
_cell_angle_gamma 90.00
_symmetry_space_group_name_H-M 'I -4 m 2'
_symmetry_Int_Tables_number 119
_symmetry_space_group_name_Hall 'I -4 -2'
loop_
_atom_site_label
_atom_site_type_symbol
_atom_site_fract_x
_atom_site_fract_y
_atom_site_fract_z
_atom_site_occupancy
Ca1 Ca 0.000 0.000 0.000 1
Mg1 Mg 0.000 0.500 0.250 1
Ge1 Ge 0.000 0.000 0.387 1
Ir1 Ir 0.000 0.500 0.750 1
# total energy = -4.819 eV/atom
# crystal system = tetragonal

=====

5.
# GaNiAu | Alexandria via LeMat-Bulk | PBE | relaxed
data_GaNiAu
_cell_length_a 3.279
_cell_length_b 4.594
_cell_length_c 6.614
_cell_angle_alpha 78.49
_cell_angle_beta 89.92
_cell_angle_gamma 69.13
_symmetry_space_group_name_H-M 'P -1'
_symmetry_Int_Tables_number 2
loop_
_symmetry_equiv_pos_as_xyz
'x,y,z'
'-x,-y,-z'
loop_
_atom_site_label
_atom_site_type_symbol
_atom_site_fract_x
_atom_site_fract_y
_atom_site_fract_z
_atom_site_occupancy
Ga1 Ga 0.090 0.321 0.202 1
Ni1 Ni 0.363 0.771 0.057 1
Au1 Au 0.165 0.172 0.625 1
# total energy = -4.224 eV/atom
# crystal system = triclinic

=====

6.
# CsBNF2 | Alexandria via LeMat-Bulk | PBE | relaxed
data_CsBNF2
_cell_length_a 5.028
_cell_length_b 5.028
_cell_length_c 2.882
_cell_angle_alpha 90.00
_cell_angle_beta 90.00
_cell_angle_gamma 90.00
_symmetry_space_group_name_H-M 'P 4/m m m'
_symmetry_Int_Tables_number 123
_symmetry_space_group_name_Hall '-P 4 2'
loop_
_atom_site_label
_atom_site_type_symbol
_atom_site_fract_x
_atom_site_fract_y
_atom_site_fract_z
_atom_site_occupancy
Cs1 Cs 0.000 0.000 0.000 1
B1 B 0.500 0.500 0.500 1
N1 N 0.500 0.500 0.000 1
F1 F 0.000 0.500 0.500 1
# crystal system = tetragonal
# ΔE_f (raw) = -0.899 eV/atom

=====

7.
# Ac12Os3C5 | Alexandria via LeMat-Bulk | PBE | relaxed
data_Ac12Os3C5
_cell_length_a 16.845
_cell_length_b 16.845
_cell_length_c 16.845
_cell_angle_alpha 90.00
_cell_angle_beta 90.00
_cell_angle_gamma 90.00
_symmetry_space_group_name_H-M 'I a -3 d'
_symmetry_Int_Tables_number 230
_symmetry_space_group_name_Hall '-I 4bd 2c 3'
loop_
_atom_site_label
_atom_site_type_symbol
_atom_site_fract_x
_atom_site_fract_y
_atom_site_fract_z
_atom_site_occupancy
Ac1 Ac 0.024 0.056 0.654 1
Os1 Os 0.000 0.250 0.125 1
C1 C 0.000 0.000 0.000 1
C2 C 0.000 0.250 0.375 1
# total energy = -6.217 eV/atom
# crystal system = cubic

=====

8.
# YAlZn | Alexandria via LeMat-Bulk | PBE | relaxed
data_YAlZn
_cell_length_a 4.112
_cell_length_b 10.563
_cell_length_c 5.714
_cell_angle_alpha 90.00
_cell_angle_beta 90.00
_cell_angle_gamma 90.00
_symmetry_space_group_name_H-M 'C m c m'
_symmetry_Int_Tables_number 63
_symmetry_space_group_name_Hall '-C 2c 2'
loop_
_atom_site_label
_atom_site_type_symbol
_atom_site_fract_x
_atom_site_fract_y
_atom_site_fract_z
_atom_site_occupancy
Y1 Y 0.000 0.198 0.250 1
Al1 Al 0.000 0.500 0.000 1
Zn1 Zn 0.000 0.097 0.750 1
# total energy = -4.257 eV/atom
# crystal system = orthorhombic

=====

9.
# Mn2CdCo | Alexandria via LeMat-Bulk | PBE | relaxed
data_Mn2CdCo
_cell_length_a 3.896
_cell_length_b 3.896
_cell_length_c 7.795
_cell_angle_alpha 90.00
_cell_angle_beta 90.00
_cell_angle_gamma 90.00
_symmetry_space_group_name_H-M 'I -4 m 2'
_symmetry_Int_Tables_number 119
_symmetry_space_group_name_Hall 'I -4 -2'
loop_
_atom_site_label
_atom_site_type_symbol
_atom_site_fract_x
_atom_site_fract_y
_atom_site_fract_z
_atom_site_occupancy
Mn1 Mn 0.000 0.000 0.000 1
Mn2 Mn 0.000 0.500 0.250 1
Cd1 Cd 0.000 0.500 0.750 1
Co1 Co 0.000 0.000 0.500 1
# total energy = -6.245 eV/atom
# crystal system = tetragonal

=====

10.
# KZn2Si | Alexandria via LeMat-Bulk | PBE | relaxed
data_KZn2Si
_cell_length_a 7.504
_cell_length_b 4.326
_cell_length_c 6.594
_cell_angle_alpha 90.00
_cell_angle_beta 112.17
_cell_angle_gamma 90.00
_symmetry_space_group_name_H-M 'C 1 2/m 1'
_symmetry_Int_Tables_number 12
loop_
_symmetry_equiv_pos_as_xyz
'x,y,z'
'-x,-y,-z'
'-x,y,-z'
'x,-y,z'
'x+1/2,y+1/2,z'
'-x+1/2,-y+1/2,-z'
'-x+1/2,y+1/2,-z'
'x+1/2,-y+1/2,z'
loop_
_atom_site_label
_atom_site_type_symbol
_atom_site_fract_x
_atom_site_fract_y
_atom_site_fract_z
_atom_site_occupancy
K1 K 0.000 0.000 0.000 1
Zn1 Zn 0.198 0.000 0.595 1
Si1 Si 0.000 0.500 0.500 1
# crystal system = monoclinic
# ΔE_f (raw) = 0.088 eV/atom

=====

11.
# Mg2AlFe | Alexandria via LeMat-Bulk | PBE | relaxed
data_Mg2AlFe
_cell_length_a 5.534
_cell_length_b 8.599
_cell_length_c 2.836
_cell_angle_alpha 90.00
_cell_angle_beta 90.00
_cell_angle_gamma 90.00
_symmetry_space_group_name_H-M 'C m m m'
_symmetry_Int_Tables_number 65
_symmetry_space_group_name_Hall '-C 2 2'
loop_
_atom_site_label
_atom_site_type_symbol
_atom_site_fract_x
_atom_site_fract_y
_atom_site_fract_z
_atom_site_occupancy
Mg1 Mg 0.250 0.250 0.000 1
Al1 Al 0.000 0.000 0.500 1
Fe1 Fe 0.000 0.500 0.500 1
# total energy = -3.690 eV/atom
# crystal system = orthorhombic

=====

12.
# YSb2TeI | Alexandria via LeMat-Bulk | PBE | relaxed
data_YSb2TeI
_cell_length_a 5.922
_cell_length_b 5.922
_cell_length_c 5.695
_cell_angle_alpha 90.00
_cell_angle_beta 90.00
_cell_angle_gamma 90.00
_symmetry_space_group_name_H-M 'P 4/m m m'
_symmetry_Int_Tables_number 123
_symmetry_space_group_name_Hall '-P 4 2'
loop_
_atom_site_label
_atom_site_type_symbol
_atom_site_fract_x
_atom_site_fract_y
_atom_site_fract_z
_atom_site_occupancy
Y1 Y 0.000 0.000 0.000 1
Sb1 Sb 0.000 0.500 0.000 1
Te1 Te 0.000 0.000 0.500 1
I1 I 0.500 0.500 0.500 1
# crystal system = tetragonal
# ΔE_f (raw) = 0.127 eV/atom

=====

no.,magnetic moment (μB per cell)
1,2.1
2,4.0
3,0.0
4,0.0
5,0.0
6,1.0
7,0.0
8,0.0
9,17.0
10,0.0
11,4.6
12,0.0